The following is a DFT calculation (PBE-GGA) of a relaxed structure of ZnSi2P.

The structure in POSCAR format:
```
ZnSi2P
1.0
-0.9257 -1.2793 -5.2629
3.8556 -0.2657 -3.9058
-1.0958 -1.6799 5.1156
P Si Zn
1 2 1
Cartesian
-0.2783 -1.8658 -2.3659
0.0000 0.0000 0.0000
1.4650 -0.7725 -4.5844
2.1124 -1.3590 -1.6873
```

Summary:
energy relative to the lowest polymorph listed for this composition	284	meV/atom
ΔE_f (raw)	0.450	eV per atom
total moment	0.00	Bohr magnetons per cell
V	63	Å³ per cell

=====

The following is a DFT calculation (PBE-GGA) of a relaxed structure of Zn2SiP.

The structure in POSCAR format:
```
Zn2SiP
1.0
-0.3054 2.0312 2.0463
-1.9216 -1.6776 1.3784
5.4988 -3.0978 3.8956
P Si Zn
1 1 2
Cartesian
0.2612 -0.5976 2.6862
3.0106 -2.1465 4.6340
5.4785 -3.0863 3.8812
2.7698 -1.5604 1.9622
```

Summary:
ΔE_f (raw)	0.386	eV per atom
total moment	0.00	Bohr magnetons per cell
V	62	Å³ per cell

=====

The following is a DFT calculation (PBE-GGA) of a relaxed structure of Zn2SiP.

The structure in POSCAR format:
```
Zn2SiP
1.0
5.5746 0.2303 0.4906
4.8455 2.7659 0.4906
1.7280 0.4969 4.5488
P Si Zn
1 1 2
Cartesian
6.2305 1.7915 2.6988
2.9260 0.8414 1.4307
10.3294 2.9702 1.0150
9.1563 2.6328 4.1320
```

Summary:
ΔE_f (raw)	0.287	eV per atom
total moment	0.00	Bohr magnetons per cell
V	63	Å³ per cell

=====

The following is a DFT calculation (PBE-GGA) of a relaxed structure of ZnSi2P.

The structure in POSCAR format:
```
ZnSi2P
1.0
-0.3090 2.0416 3.8925
-3.7036 2.1267 1.0845
-2.6350 -1.6235 3.1363
P Zn Si
1 1 2
Cartesian
0.0000 0.0000 0.0000
-3.3238 1.2724 4.0567
-1.6619 0.6362 2.0283
-4.9857 1.9086 6.0850
```

Summary:
energy relative to the lowest polymorph listed for this composition	386	meV/atom
ΔE_f (raw)	0.552	eV per atom
total moment	0.00	Bohr magnetons per cell
V	60	Å³ per cell

=====

The following is a DFT calculation (PBE-GGA) of a relaxed structure of Zn2SiP.

The structure in POSCAR format:
```
Zn2SiP
1.0
-1.9011 -4.2219 -3.4264
-1.5390 -5.3429 1.5045
-0.6666 5.6362 0.9838
P Si Zn
1 1 2
Cartesian
-1.5553 -4.3244 -0.8689
-2.1033 -2.6352 0.6851
-0.1362 -0.3786 -0.0761
-2.0319 -1.3727 -1.6392
```

Summary:
ΔE_f (raw)	0.193	eV per atom
total moment	0.00	Bohr magnetons per cell
V	66	Å³ per cell

=====

The following is a DFT calculation (PBE-GGA) of a relaxed structure of ZnSi2P.

The structure in POSCAR format:
```
ZnSi2P
1.0
3.4555 0.0000 0.0000
0.0000 2.5342 0.0110
0.0000 -1.2430 7.2458
P Si Zn
1 2 1
Cartesian
1.7277 1.1307 5.5170
0.0000 1.1267 7.2024
1.7277 -0.1582 1.8516
0.0000 1.1289 3.5710
```

Summary:
energy relative to the lowest polymorph listed for this composition	57	meV/atom
ΔE_f (raw)	0.223	eV per atom
total moment	0.00	Bohr magnetons per cell
V	63	Å³ per cell

=====

The following is a DFT calculation (PBE-GGA) of a relaxed structure of Zn2SiP.

The structure in POSCAR format:
```
Zn2SiP
1.0
5.5586 0.0755 0.0430
4.9199 2.5881 0.0430
1.6649 0.4232 4.3648
P Si Zn
1 1 2
Cartesian
9.1076 2.3151 3.3381
3.0359 0.7717 1.1127
1.6951 0.4309 4.3567
6.0415 1.5357 2.2334
```

Summary:
ΔE_f (raw)	0.302	eV per atom
total moment	0.00	Bohr magnetons per cell
V	61	Å³ per cell

=====

The following is a DFT calculation (PBE-GGA) of a relaxed structure of ZnSi2P.

The structure in POSCAR format:
```
ZnSi2P
1.0
3.4457 0.0000 0.0000
0.0000 4.1339 0.0000
0.0000 0.0000 4.2741
P Si Zn
1 2 1
Cartesian
0.0000 2.0669 2.1370
0.0000 0.0000 0.0000
1.7228 2.0669 0.0000
1.7228 0.0000 2.1370
```

Summary:
energy relative to the lowest polymorph listed for this composition	316	meV/atom
ΔE_f (raw)	0.483	eV per atom
total moment	0.00	Bohr magnetons per cell
V	61	Å³ per cell

=====

The following is a DFT calculation (PBE-GGA) of a relaxed structure of ZnSi2P.

The structure in POSCAR format:
```
ZnSi2P
1.0
-6.9610 -7.2762 0.2888
-6.4294 -7.1944 2.8957
-8.2185 -5.5243 1.8492
P Si Zn
1 2 1
Cartesian
-16.0620 -14.8623 3.7416
-0.1126 -0.1042 0.0262
-5.4276 -5.0222 1.2644
-10.8113 -10.0038 2.5185
```

Summary:
energy relative to the lowest polymorph listed for this composition	282	meV/atom
ΔE_f (raw)	0.448	eV per atom
total moment	0.00	Bohr magnetons per cell
V	61	Å³ per cell

=====

The following is a DFT calculation (PBE-GGA) of a relaxed structure of Zn2SiP.

The structure in POSCAR format:
```
Zn2SiP
1.0
-4.5518 -8.0400 -1.5267
-3.2657 -8.7372 0.8293
-5.6851 -7.3844 0.9181
P Si Zn
1 1 2
Cartesian
-3.3757 -6.0404 0.0552
-10.1270 -18.1212 0.1655
-13.4589 -24.0833 0.2200
-6.7951 -12.1590 0.1111
```

Summary:
ΔE_f (raw)	0.360	eV per atom
total moment	0.00	Bohr magnetons per cell
V	61	Å³ per cell

=====

The following is a DFT calculation (PBE-GGA) of a relaxed structure of ZnSi2P.

The structure in POSCAR format:
```
ZnSi2P
1.0
2.5997 0.0840 0.0000
-0.8408 2.4614 0.0000
0.0000 0.0000 9.4846
P Si Zn
1 2 1
Cartesian
0.8795 1.2727 7.3475
0.0000 0.0000 9.4099
0.8795 1.2727 2.2206
0.0000 0.0000 4.7335
```

Summary:
energy relative to the lowest polymorph listed for this composition	307	meV/atom
ΔE_f (raw)	0.473	eV per atom
total moment	0.00	Bohr magnetons per cell
V	61	Å³ per cell

=====

The following is a DFT calculation (PBE-GGA) of a relaxed structure of Zn2SiP.

The structure in POSCAR format:
```
Zn2SiP
1.0
2.6891 0.0199 0.0000
-1.0165 2.4897 0.0000
0.0000 0.0000 9.0884
P Si Zn
1 1 2
Cartesian
0.0000 0.0000 4.6332
0.8363 1.2548 6.7224
0.0000 0.0000 9.0778
0.8363 1.2548 2.2877
```

Summary:
ΔE_f (raw)	0.347	eV per atom
total moment	0.00	Bohr magnetons per cell
V	61	Å³ per cell

=====

The following is a DFT calculation (PBE-GGA) of a relaxed structure of Zn2SiP.

The structure in POSCAR format:
```
Zn2SiP
1.0
-1.0777 -3.6271 3.8491
2.0415 -1.3035 -0.6568
4.6263 1.1980 2.4242
P Si Zn
1 1 2
Cartesian
1.1281 -1.8399 2.3664
4.4620 -1.8927 3.2501
5.1985 0.8318 2.2393
2.7617 0.3135 1.0686
```

Summary:
ΔE_f (raw)	0.248	eV per atom
total moment	0.00	Bohr magnetons per cell
V	64	Å³ per cell

=====

The following is a DFT calculation (PBE-GGA) of a relaxed structure of ZnSi2P.

The structure in POSCAR format:
```
ZnSi2P
1.0
2.5323 0.0000 0.0000
0.0000 2.5323 0.0000
0.0000 0.0000 9.4567
P Si Zn
1 2 1
Cartesian
1.2662 1.2662 7.0925
0.0000 0.0000 0.0333
0.0000 0.0000 4.6950
1.2662 1.2662 2.3642
```

Summary:
energy relative to the lowest polymorph listed for this composition	311	meV/atom
ΔE_f (raw)	0.477	eV per atom
total moment	0.00	Bohr magnetons per cell
V	61	Å³ per cell

=====

The following is a DFT calculation (PBE-GGA) of a relaxed structure of Zn2SiP.

The structure in POSCAR format:
```
Zn2SiP
1.0
6.2399 0.0354 -0.0285
4.3718 4.4526 0.0285
-5.3352 -2.1747 2.3970
P Si Zn
1 1 2
Cartesian
3.1053 0.0523 1.1842
2.1713 2.2609 1.2127
10.0179 4.2367 0.0000
5.8998 2.4951 0.0000
```

Summary:
ΔE_f (raw)	0.251	eV per atom
total moment	0.00	Bohr magnetons per cell
V	66	Å³ per cell

=====

The following is a DFT calculation (PBE-GGA) of a relaxed structure of ZnSi3P.

The structure in POSCAR format:
```
ZnSi3P
1.0
4.5449 0.0000 0.0000
0.0000 4.5449 0.0000
0.0000 0.0000 4.5449
P Zn Si
1 1 3
Cartesian
0.0000 0.0000 0.0000
2.2724 2.2724 2.2724
0.0000 2.2724 0.0000
0.0000 0.0000 2.2724
2.2724 0.0000 0.0000
```

Summary:
energy relative to the lowest polymorph listed for this composition	0	meV/atom
ΔE_f (raw)	0.851	eV per atom
total moment	0.00	Bohr magnetons per cell
V	94	Å³ per cell

=====

The following is a DFT calculation (PBE-GGA) of a relaxed structure of ZnSi2P.

The structure in POSCAR format:
```
ZnSi2P
1.0
-2.3515 -0.8208 2.2707
1.5068 -1.8615 0.8875
3.7870 3.7837 5.2895
P Si Zn
1 2 1
Cartesian
2.7946 1.0313 5.7681
4.6983 2.5351 5.7819
3.2424 0.3482 3.4837
0.1477 0.0702 2.6796
```

Summary:
energy relative to the lowest polymorph listed for this composition	67	meV/atom
ΔE_f (raw)	0.234	eV per atom
total moment	0.00	Bohr magnetons per cell
V	64	Å³ per cell

=====

The following is a DFT calculation (PBE-GGA) of a relaxed structure of ZnSi2P.

The structure in POSCAR format:
```
ZnSi2P
1.0
-4.4177 -0.7546 -3.1391
-0.0174 -3.0249 -4.5596
1.1787 0.0666 5.3428
P Si Zn
1 2 1
Cartesian
-0.3431 -2.2663 -1.2119
-0.1189 -0.1013 -0.2063
-2.9028 -1.4376 -1.1258
-2.1092 -1.7974 -3.6612
```

Summary:
energy relative to the lowest polymorph listed for this composition	217	meV/atom
ΔE_f (raw)	0.383	eV per atom
total moment	0.00	Bohr magnetons per cell
V	63	Å³ per cell

=====

The following is a DFT calculation (PBE-GGA) of a relaxed structure of Zn2SiP.

The structure in POSCAR format:
```
Zn2SiP
1.0
-0.6924 -2.1936 -1.6101
4.2432 -0.3215 -1.3867
1.0289 -3.1761 3.8847
P Si Zn
1 1 2
Cartesian
0.3869 -1.1943 1.4607
2.6743 -4.0325 1.8955
0.9016 -2.7831 3.4040
2.1603 -2.4455 -0.0454
```

Summary:
ΔE_f (raw)	0.303	eV per atom
total moment	0.00	Bohr magnetons per cell
V	64	Å³ per cell

=====

The following is a DFT calculation (PBE-GGA) of a relaxed structure of ZnSi3P.

The structure in POSCAR format:
```
ZnSi3P
1.0
4.6197 0.0000 0.0000
0.0000 4.6197 0.0000
0.0000 0.0000 4.6197
P Zn Si
1 1 3
Cartesian
2.3098 2.3098 2.3098
0.0000 0.0000 0.0000
0.0000 2.3098 0.0000
0.0000 0.0000 2.3098
2.3098 0.0000 0.0000
```

Summary:
energy relative to the lowest polymorph listed for this composition	262	meV/atom
ΔE_f (raw)	1.113	eV per atom
total moment	0.00	Bohr magnetons per cell
V	99	Å³ per cell

=====

The following is a DFT calculation (PBE-GGA) of a relaxed structure of ZnSi2P.

The structure in POSCAR format:
```
ZnSi2P
1.0
3.6037 0.0000 0.0000
0.0000 3.0390 0.0000
0.0000 0.0000 6.4580
P Si Zn
1 2 1
Cartesian
1.8019 1.5195 3.5442
0.0000 0.0000 0.4123
1.8019 1.5195 1.2852
0.0000 0.0000 4.4452
```

Summary:
energy relative to the lowest polymorph listed for this composition	9	meV/atom
ΔE_f (raw)	0.176	eV per atom
total moment	0.00	Bohr magnetons per cell
V	71	Å³ per cell

=====

The following is a DFT calculation (PBE-GGA) of a relaxed structure of ZnSiP4.

The structure in POSCAR format:
```
ZnSiP4
1.0
-3.0063 -1.0972 3.9632
-5.0112 0.8683 -0.2872
-3.2511 -3.9119 -0.2754
Zn Si P
1 1 4
Cartesian
0.0000 0.0000 0.0000
-8.4514 -3.1056 2.5504
-5.7285 -2.1013 3.2510
-5.8504 -3.5034 1.1396
-6.7272 -1.1222 1.1337
-4.2310 -1.5548 1.2768
```

Summary:
ΔE_f (raw)	0.702	eV per atom
total moment	0.00	Bohr magnetons per cell
V	93	Å³ per cell

=====

The following is a DFT calculation (PBE-GGA) of a relaxed structure of ZnSi2P.

The structure in POSCAR format:
```
ZnSi2P
1.0
-3.4876 4.2019 1.1549
-0.5234 -4.6781 2.9992
0.3577 0.6610 2.6077
P Si Zn
1 2 1
Cartesian
-0.0829 -2.0085 2.8034
0.0000 0.0000 0.0000
-2.0055 -0.2381 2.0770
-1.5650 2.4315 1.8813
```

Summary:
energy relative to the lowest polymorph listed for this composition	274	meV/atom
ΔE_f (raw)	0.440	eV per atom
total moment	0.00	Bohr magnetons per cell
V	61	Å³ per cell

=====

The following is a DFT calculation (PBE-GGA) of a relaxed structure of ZnSi2P.

The structure in POSCAR format:
```
ZnSi2P
1.0
4.4177 0.0000 0.0000
2.2089 3.8259 0.0000
2.2089 1.2753 3.6071
P Si Zn
1 2 1
Cartesian
4.4177 2.5506 1.8035
0.0000 0.0000 0.0000
2.2089 1.2753 0.9018
6.6266 3.8259 2.7053
```

Summary:
energy relative to the lowest polymorph listed for this composition	376	meV/atom
ΔE_f (raw)	0.542	eV per atom
total moment	0.00	Bohr magnetons per cell
V	61	Å³ per cell

=====

The following is a DFT calculation (PBE-GGA) of a relaxed structure of ZnSi2P.

The structure in POSCAR format:
```
ZnSi2P
1.0
-2.7815 1.0766 -0.5621
-1.1410 -1.8353 2.1311
0.8996 4.6797 4.5118
P Si Zn
1 2 1
Cartesian
-1.2865 3.1305 4.1683
0.8656 4.5029 4.3413
0.4838 2.5167 2.4264
-1.7363 0.7906 1.9124
```

Summary:
energy relative to the lowest polymorph listed for this composition	247	meV/atom
ΔE_f (raw)	0.414	eV per atom
total moment	0.00	Bohr magnetons per cell
V	60	Å³ per cell

=====

The following is a DFT calculation (PBE-GGA) of a relaxed structure of Zn2SiP.

The structure in POSCAR format:
```
Zn2SiP
1.0
-1.3733 -0.2349 4.5282
-2.2719 -4.1360 0.4219
4.2924 0.8984 -1.7928
P Si Zn
1 1 2
Cartesian
-1.8226 -2.1854 2.4751
0.5482 -0.7609 2.6052
0.0000 0.0000 0.0000
0.0990 -2.7115 0.5521
```

Summary:
ΔE_f (raw)	0.393	eV per atom
total moment	0.00	Bohr magnetons per cell
V	62	Å³ per cell

=====

The following is a DFT calculation (PBE-GGA) of a relaxed structure of Zn2SiP.

The structure in POSCAR format:
```
Zn2SiP
1.0
-1.4056 4.8617 -0.5583
-4.8173 1.1012 1.2266
3.8724 -2.4709 2.1961
P Si Zn
1 1 2
Cartesian
-2.0282 0.8059 1.8784
-0.3223 2.6861 0.9860
0.0000 0.0000 0.0000
-3.1115 2.9815 0.3342
```

Summary:
ΔE_f (raw)	0.367	eV per atom
total moment	0.00	Bohr magnetons per cell
V	63	Å³ per cell

=====

The following is a DFT calculation (PBE-GGA) of a relaxed structure of Zn2SiP.

The structure in POSCAR format:
```
Zn2SiP
1.0
-3.8630 0.9062 -2.0176
-2.2021 -3.2219 -2.1413
-3.8095 -1.5829 1.6725
P Si Zn
1 1 2
Cartesian
-4.9373 -1.9493 -1.2432
-7.4059 -2.9239 -1.8648
0.0000 0.0000 0.0000
-2.4686 -0.9746 -0.6216
```

Summary:
ΔE_f (raw)	0.405	eV per atom
total moment	0.00	Bohr magnetons per cell
V	62	Å³ per cell

=====

The following is a DFT calculation (PBE-GGA) of a relaxed structure of ZnSi2P.

The structure in POSCAR format:
```
ZnSi2P
1.0
9.9057 0.0103 0.0060
9.5462 2.6445 0.0060
9.5462 1.3029 2.3013
P Si Zn
1 2 1
Cartesian
21.7486 2.9682 1.7350
0.1227 0.0167 0.0098
14.3764 1.9621 1.1469
7.2495 0.9894 0.5783
```

Summary:
energy relative to the lowest polymorph listed for this composition	283	meV/atom
ΔE_f (raw)	0.449	eV per atom
total moment	0.00	Bohr magnetons per cell
V	60	Å³ per cell

=====

The following is a DFT calculation (PBE-GGA) of a relaxed structure of ZnSi2P.

The structure in POSCAR format:
```
ZnSi2P
1.0
-1.9239 -1.0600 2.2820
0.9306 -2.9687 -0.5944
4.6278 0.6125 4.1861
P Si Zn
1 2 1
Cartesian
3.2441 -1.5193 4.2276
4.4889 0.5941 4.0605
0.5439 -1.8767 1.7850
2.2993 0.3043 2.0798
```

Summary:
energy relative to the lowest polymorph listed for this composition	254	meV/atom
ΔE_f (raw)	0.421	eV per atom
total moment	0.00	Bohr magnetons per cell
V	63	Å³ per cell